1.
Computed, not measured: a geometry-optimized ZrTaC2 structure at the GGA-PBE level of DFT.

Lattice parameters (Å, degrees): 3.244 3.244 4.602 90.00 90.00 90.00
Atoms (fractional coordinates):
Zr 0.000 0.000 0.000
Ta 0.500 0.500 0.500
C 0.000 0.000 0.500
C 0.500 0.500 0.000

Output
* SG: P4/mmm (123)
* relative energy among the computed polymorphs: 4.4 kJ/mol of atoms

---

2.
Computed, not measured: a geometry-optimized ZrTaC structure at the GGA-PBE level of DFT.

Lattice parameters (Å, degrees): 4.001 4.001 4.001 60.00 60.00 60.00
Atoms (fractional coordinates):
Zr 0.000 0.000 0.000
Ta 0.500 0.500 0.500
C 0.250 0.250 0.250

Output
* SG: F-43m (216)
* relative energy among the computed polymorphs: 75.3 kJ/mol of atoms

---

3.
Computed, not measured: a geometry-optimized ZrTaC structure at the GGA-PBE level of DFT.

Lattice parameters (Å, degrees): 3.271 4.368 6.607 90.00 90.00 90.00
Atoms (fractional coordinates):
Zr 0.250 0.250 0.134
Zr 0.750 0.750 0.866
Ta 0.250 0.250 0.603
Ta 0.750 0.750 0.397
C 0.250 0.750 0.621
C 0.750 0.250 0.379

Output
* SG: Pmmn (59)
* relative energy among the computed polymorphs: 1.2 kJ/mol of atoms

---

4.
Computed, not measured: a geometry-optimized ZrTaC2 structure at the GGA-PBE level of DFT.

Lattice parameters (Å, degrees): 3.079 3.079 6.257 90.00 90.00 116.70
Atoms (fractional coordinates):
Zr 0.000 0.000 0.000
Ta 0.000 0.000 0.500
C 0.500 0.500 0.261
C 0.500 0.500 0.739

Output
* SG: Cmmm (65)
* relative energy among the computed polymorphs: 88.7 kJ/mol of atoms

---

5.
Computed, not measured: a geometry-optimized Zr2TaC structure at the GGA-PBE level of DFT.

Lattice parameters (Å, degrees): 5.698 5.698 5.698 148.73 132.58 57.91
Atoms (fractional coordinates):
Zr 0.168 0.168 0.000
Zr 0.832 0.832 0.000
Ta 0.500 0.000 0.500
C 0.000 0.500 0.500

Output
* SG: Immm (71)

---

6.
Computed, not measured: a geometry-optimized Zr2TaC structure at the GGA-PBE level of DFT.

Lattice parameters (Å, degrees): 5.473 5.473 5.473 147.68 125.49 64.81
Atoms (fractional coordinates):
Zr 0.000 0.000 0.000
Zr 0.672 0.172 0.500
Ta 0.344 0.344 0.000
C 0.183 0.683 0.500

Output
* SG: Imm2 (44)

---

7.
Computed, not measured: a geometry-optimized ZrTaC2 structure at the GGA-PBE level of DFT.

Lattice parameters (Å, degrees): 4.052 4.052 4.052 60.00 60.00 60.00
Atoms (fractional coordinates):
Zr 0.000 0.000 0.000
Ta 0.500 0.500 0.500
C 0.250 0.250 0.250
C 0.750 0.750 0.750

Output
* SG: Fm-3m (225)
* relative energy among the computed polymorphs: 119.3 kJ/mol of atoms

---

8.
Computed, not measured: a geometry-optimized ZrTaC2 structure at the GGA-PBE level of DFT.

Lattice parameters (Å, degrees): 3.098 3.314 5.010 90.00 90.00 90.00
Atoms (fractional coordinates):
Zr 0.000 0.000 0.000
Ta 0.000 0.500 0.500
C 0.500 0.000 0.500
C 0.500 0.500 0.000

Output
* SG: Pmmm (47)
* relative energy among the computed polymorphs: 93.1 kJ/mol of atoms

---

| no. | ΔE_f (eV per atom) |
| --- | --- |
| 1 | -0.691 |
| 2 | 0.237 |
| 3 | -0.532 |
| 4 | 0.182 |
| 5 | 0.259 |
| 6 | 0.005 |
| 7 | 0.499 |
| 8 | 0.228 |